1.
! CdCNF2 PBE relaxed; values from VASP
&SYSTEM
  ibrav = 0, nat = 5, ntyp = 4
/
ATOMIC_SPECIES
Cd 112.41 Cd.upf
C 12.01 C.upf
N 14.01 N.upf
F 19.00 F.upf
CELL_PARAMETERS angstrom
4.2851 0.0000 0.0000
0.0000 4.2851 0.0000
0.0000 0.0000 4.7636
ATOMIC_POSITIONS crystal
Cd 0.0000 0.0000 0.0000
C 0.5000 0.5000 0.5000
N 0.0000 0.0000 0.5000
F 0.0000 0.5000 0.0000
F 0.5000 0.0000 0.0000
! Space-group type: P4/mmm (123)
! Magnetic moment in Bohr magnetons per cell: 1.00
! E_form (uncorrected) in eV/atom: 1.2838

2.
! CdCN2F PBE relaxed; values from VASP
&SYSTEM
  ibrav = 0, nat = 5, ntyp = 4
/
ATOMIC_SPECIES
Cd 112.41 Cd.upf
C 12.01 C.upf
N 14.01 N.upf
F 19.00 F.upf
CELL_PARAMETERS angstrom
3.1668 0.0000 0.0000
0.0000 3.1668 0.0000
0.0000 0.0000 5.3852
ATOMIC_POSITIONS crystal
Cd 0.0000 0.0000 0.0000
C 0.5000 0.5000 0.5000
N 0.0000 0.5000 0.5000
N 0.5000 0.0000 0.5000
F 0.5000 0.5000 0.0000
! Space-group type: P4/mmm (123)
! Magnetic moment in Bohr magnetons per cell: 0.00
! E_form (uncorrected) in eV/atom: 1.2047

3.
! CdCN2F PBE relaxed; values from VASP
&SYSTEM
  ibrav = 0, nat = 5, ntyp = 4
/
ATOMIC_SPECIES
Cd 112.41 Cd.upf
C 12.01 C.upf
N 14.01 N.upf
F 19.00 F.upf
CELL_PARAMETERS angstrom
4.3614 0.0000 0.0000
0.0000 4.3614 0.0000
0.0000 0.0000 4.3709
ATOMIC_POSITIONS crystal
Cd 0.0000 0.0000 0.0000
C 0.5000 0.5000 0.5000
N 0.0000 0.5000 0.0000
N 0.5000 0.0000 0.0000
F 0.0000 0.0000 0.5000
! Space-group type: P4/mmm (123)
! Magnetic moment in Bohr magnetons per cell: 2.34
! E_form (uncorrected) in eV/atom: 2.5379

4.
! CdCNF2 PBE relaxed; values from VASP
&SYSTEM
  ibrav = 0, nat = 5, ntyp = 4
/
ATOMIC_SPECIES
Cd 112.41 Cd.upf
C 12.01 C.upf
N 14.01 N.upf
F 19.00 F.upf
CELL_PARAMETERS angstrom
4.7156 0.0000 0.0000
0.0000 4.7156 0.0000
0.0000 0.0000 2.5197
ATOMIC_POSITIONS crystal
Cd 0.0000 0.0000 0.0000
C 0.5000 0.5000 0.5000
N 0.5000 0.5000 0.0000
F 0.0000 0.5000 0.5000
F 0.5000 0.0000 0.5000
! Space-group type: P4/mmm (123)
! Magnetic moment in Bohr magnetons per cell: 0.00
! E_form (uncorrected) in eV/atom: -0.3132

5.
! CdOsC2F PBE relaxed; values from VASP
&SYSTEM
  ibrav = 0, nat = 5, ntyp = 4
/
ATOMIC_SPECIES
Cd 112.41 Cd.upf
Os 190.23 Os.upf
C 12.01 C.upf
F 19.00 F.upf
CELL_PARAMETERS angstrom
4.2451 0.0000 0.0000
0.0000 4.2451 0.0000
0.0000 0.0000 3.8268
ATOMIC_POSITIONS crystal
Cd 0.0000 0.0000 0.0000
Os 0.5000 0.5000 0.0000
C 0.0000 0.5000 0.5000
C 0.5000 0.0000 0.5000
F 0.5000 0.5000 0.5000
! Space-group type: P4/mmm (123)
! Magnetic moment in Bohr magnetons per cell: 0.00
! E_form (uncorrected) in eV/atom: 2.6129

6.
! CdOs2CF PBE relaxed; values from VASP
&SYSTEM
  ibrav = 0, nat = 5, ntyp = 4
/
ATOMIC_SPECIES
Cd 112.41 Cd.upf
Os 190.23 Os.upf
C 12.01 C.upf
F 19.00 F.upf
CELL_PARAMETERS angstrom
4.0666 0.0000 0.0000
0.0000 4.0666 0.0000
0.0000 0.0000 4.8140
ATOMIC_POSITIONS crystal
Cd 0.0000 0.0000 0.0000
Os 0.0000 0.5000 0.5000
Os 0.5000 0.0000 0.5000
C 0.5000 0.5000 0.0000
F 0.0000 0.0000 0.5000
! Space-group type: P4/mmm (123)
! Magnetic moment in Bohr magnetons per cell: 0.00
! E_form (uncorrected) in eV/atom: 2.4143

7.
! Cd2RuCF PBE relaxed; values from VASP
&SYSTEM
  ibrav = 0, nat = 5, ntyp = 4
/
ATOMIC_SPECIES
Cd 112.41 Cd.upf
Ru 101.07 Ru.upf
C 12.01 C.upf
F 19.00 F.upf
CELL_PARAMETERS angstrom
4.6556 0.0000 0.0000
0.0000 4.6556 0.0000
0.0000 0.0000 3.8300
ATOMIC_POSITIONS crystal
Cd 0.0000 0.5000 0.0000
Cd 0.5000 0.0000 0.0000
Ru 0.0000 0.0000 0.5000
C 0.0000 0.0000 0.0000
F 0.5000 0.5000 0.5000
! Space-group type: P4/mmm (123)
! Magnetic moment in Bohr magnetons per cell: 0.00
! E_form (uncorrected) in eV/atom: 0.1971

8.
! Sc2CdCF PBE relaxed; values from VASP
&SYSTEM
  ibrav = 0, nat = 5, ntyp = 4
/
ATOMIC_SPECIES
Sc 44.96 Sc.upf
Cd 112.41 Cd.upf
C 12.01 C.upf
F 19.00 F.upf
CELL_PARAMETERS angstrom
5.3976 0.0000 0.0000
0.0000 5.3976 0.0000
0.0000 0.0000 3.9034
ATOMIC_POSITIONS crystal
Sc 0.0000 0.5000 0.0000
Sc 0.5000 0.0000 0.0000
Cd 0.0000 0.0000 0.0000
C 0.0000 0.0000 0.5000
F 0.5000 0.5000 0.5000
! Space-group type: P4/mmm (123)
! Magnetic moment in Bohr magnetons per cell: 2.02
! E_form (uncorrected) in eV/atom: 0.7584